RbInSbI2 | PBE-GGA | relaxed

abc: 6.349 6.349 5.768
angles: 90.00 90.00 90.00
Element x y z (fractional)
Rb 0.000 0.000 0.000
In 0.500 0.500 0.500
Sb 0.500 0.500 0.000
I 0.000 0.500 0.500
I 0.500 0.000 0.500

Properties
Crystal system   tetragonal
Fermi-level density of states   0.258 states/eV per atom
Uncorrected energy   -12.9 eV per formula unit
Mass density   4.1 g/cm³
Raw formation energy   -0.393 eV per atom